A plane-wave DFT calculation with GGA-PBE was carried out for HoSi3Rh3 after structural relaxation.

Crystal system   hexagonal
Energy relative to the elements, uncorrected   -0.747 eV/atom
E   -48.1 eV per formula unit
M_tot   0.00 μB per atom

Cell lengths 8.393, 8.393, 4.086 Å; angles 90.00, 90.00, 120.00 degrees
Positions (direct):
Ho1 0.333 0.667 0.250
Ho2 0.667 0.333 0.750
Si1 0.055 0.624 0.750
Si2 0.376 0.431 0.750
Si3 0.431 0.055 0.250
Si4 0.569 0.945 0.750
Si5 0.624 0.569 0.250
Si6 0.945 0.376 0.250
Rh1 0.066 0.344 0.750
Rh2 0.278 0.934 0.750
Rh3 0.344 0.278 0.250
Rh4 0.656 0.722 0.750
Rh5 0.722 0.066 0.250
Rh6 0.934 0.656 0.250